No. 1
# SrIn2, relaxed, DFT GGA-PBEsol
data_SrIn2
_chemical_formula_sum 'Sr2 In4'
_cell_length_a 4.992
_cell_length_b 4.992
_cell_length_c 7.909
_cell_angle_alpha 90.00
_cell_angle_beta 90.00
_cell_angle_gamma 120.00
_space_group_name_H-M_alt 'P 1'
_space_group_IT_number 1
_space_group_name_Hall 'P 1'
loop_
_atom_site_label
_atom_site_type_symbol
_atom_site_fract_x
_atom_site_fract_y
_atom_site_fract_z
Sr1 Sr 0.000 0.000 0.250
Sr2 Sr 0.000 0.000 0.750
In1 In 0.333 0.667 0.045
In2 In 0.333 0.667 0.455
In3 In 0.667 0.333 0.545
In4 In 0.667 0.333 0.955
# - VASP energy: -18.682 eV per cell
# - SG: P6_3/mmc, No. 194
# - Fermi-level density of states: 0.11 states/eV per atom
# - Energy of formation: -49.4 kJ/mol of atoms
# - Total moment: 0.0 μB per formula unit



No. 2
# SrIn4, relaxed, DFT GGA-PBEsol
data_SrIn4
_chemical_formula_sum 'Sr2 In8'
_cell_length_a 4.841
_cell_length_b 4.841
_cell_length_c 12.033
_cell_angle_alpha 90.00
_cell_angle_beta 90.00
_cell_angle_gamma 90.00
_space_group_name_H-M_alt 'P 1'
_space_group_IT_number 1
_space_group_name_Hall 'P 1'
loop_
_atom_site_label
_atom_site_type_symbol
_atom_site_fract_x
_atom_site_fract_y
_atom_site_fract_z
Sr1 Sr 0.000 0.000 0.000
Sr2 Sr 0.500 0.500 0.500
In1 In 0.000 0.000 0.386
In2 In 0.000 0.000 0.614
In3 In 0.000 0.500 0.250
In4 In 0.000 0.500 0.750
In5 In 0.500 0.000 0.250
In6 In 0.500 0.000 0.750
In7 In 0.500 0.500 0.114
In8 In 0.500 0.500 0.886
# - VASP energy: -30.610 eV per cell
# - SG: I4/mmm, No. 139
# - Fermi-level density of states: 0.28 states/eV per atom
# - Energy of formation: -29.6 kJ/mol of atoms
# - Total moment: 0.0 μB per formula unit



No. 3
# Sr11In7, relaxed, DFT GGA-PBEsol
data_Sr11In7
_chemical_formula_sum 'Sr22 In14'
_cell_length_a 12.395
_cell_length_b 12.395
_cell_length_c 12.395
_cell_angle_alpha 60.00
_cell_angle_beta 60.00
_cell_angle_gamma 60.00
_space_group_name_H-M_alt 'P 1'
_space_group_IT_number 1
_space_group_name_Hall 'P 1'
loop_
_atom_site_label
_atom_site_type_symbol
_atom_site_fract_x
_atom_site_fract_y
_atom_site_fract_z
Sr1 Sr 0.000 0.000 0.000
Sr2 Sr 0.000 0.000 0.335
Sr3 Sr 0.000 0.000 0.665
Sr4 Sr 0.000 0.335 0.000
Sr5 Sr 0.000 0.335 0.665
Sr6 Sr 0.000 0.665 0.000
Sr7 Sr 0.000 0.665 0.335
Sr8 Sr 0.112 0.629 0.629
Sr9 Sr 0.335 0.000 0.000
Sr10 Sr 0.335 0.000 0.665
Sr11 Sr 0.335 0.665 0.000
Sr12 Sr 0.371 0.371 0.371
Sr13 Sr 0.371 0.371 0.888
Sr14 Sr 0.371 0.888 0.371
Sr15 Sr 0.500 0.500 0.500
Sr16 Sr 0.629 0.112 0.629
Sr17 Sr 0.629 0.629 0.112
Sr18 Sr 0.629 0.629 0.629
Sr19 Sr 0.665 0.000 0.000
Sr20 Sr 0.665 0.000 0.335
Sr21 Sr 0.665 0.335 0.000
Sr22 Sr 0.888 0.371 0.371
In1 In 0.189 0.189 0.189
In2 In 0.189 0.189 0.432
In3 In 0.189 0.432 0.189
In4 In 0.280 0.280 0.720
In5 In 0.280 0.720 0.280
In6 In 0.280 0.720 0.720
In7 In 0.432 0.189 0.189
In8 In 0.568 0.811 0.811
In9 In 0.720 0.280 0.280
In10 In 0.720 0.280 0.720
In11 In 0.720 0.720 0.280
In12 In 0.811 0.568 0.811
In13 In 0.811 0.811 0.568
In14 In 0.811 0.811 0.811
# - VASP energy: -95.612 eV per cell
# - SG: Fm-3m, No. 225
# - Fermi-level density of states: 0.91 states/eV per atom
# - Energy of formation: -35.8 kJ/mol of atoms
# - Total moment: 0.0 μB per formula unit



No. 4
# SrIn8, relaxed, DFT GGA-PBEsol
data_SrIn8
_chemical_formula_sum 'Sr1 In8'
_cell_length_a 7.432
_cell_length_b 7.432
_cell_length_c 7.432
_cell_angle_alpha 95.89
_cell_angle_beta 95.89
_cell_angle_gamma 142.62
_space_group_name_H-M_alt 'P 1'
_space_group_IT_number 1
_space_group_name_Hall 'P 1'
loop_
_atom_site_label
_atom_site_type_symbol
_atom_site_fract_x
_atom_site_fract_y
_atom_site_fract_z
Sr1 Sr 0.000 0.000 0.000
In1 In 0.000 0.342 0.342
In2 In 0.000 0.658 0.658
In3 In 0.324 0.324 0.648
In4 In 0.324 0.676 0.000
In5 In 0.342 0.000 0.342
In6 In 0.658 0.000 0.658
In7 In 0.676 0.324 0.000
In8 In 0.676 0.676 0.352
# - VASP energy: -27.069 eV per cell
# - SG: I4/mmm, No. 139
# - Fermi-level density of states: 0.42 states/eV per atom
# - Energy of formation: -14.6 kJ/mol of atoms
# - Total moment: 0.0 μB per formula unit



No. 5
# SrIn4, relaxed, DFT GGA-PBEsol
data_SrIn4
_chemical_formula_sum 'Sr2 In8'
_cell_length_a 7.580
_cell_length_b 7.580
_cell_length_c 4.731
_cell_angle_alpha 90.00
_cell_angle_beta 90.00
_cell_angle_gamma 90.00
_space_group_name_H-M_alt 'P 1'
_space_group_IT_number 1
_space_group_name_Hall 'P 1'
loop_
_atom_site_label
_atom_site_type_symbol
_atom_site_fract_x
_atom_site_fract_y
_atom_site_fract_z
Sr1 Sr 0.000 0.000 0.000
Sr2 Sr 0.500 0.500 0.500
In1 In 0.074 0.692 0.500
In2 In 0.192 0.426 0.000
In3 In 0.308 0.074 0.500
In4 In 0.426 0.808 0.000
In5 In 0.574 0.192 0.000
In6 In 0.692 0.926 0.500
In7 In 0.808 0.574 0.000
In8 In 0.926 0.308 0.500
# - VASP energy: -30.042 eV per cell
# - SG: I4/m, No. 87
# - Fermi-level density of states: 0.41 states/eV per atom
# - Energy of formation: -24.1 kJ/mol of atoms
# - Total moment: 0.0 μB per formula unit



No. 6
# SrTa2In, relaxed, DFT GGA-PBEsol
data_SrTa2In
_chemical_formula_sum 'Sr4 Ta8 In4'
_cell_length_a 7.014
_cell_length_b 7.014
_cell_length_c 7.014
_cell_angle_alpha 90.00
_cell_angle_beta 90.00
_cell_angle_gamma 90.00
_space_group_name_H-M_alt 'P 1'
_space_group_IT_number 1
_space_group_name_Hall 'P 1'
loop_
_atom_site_label
_atom_site_type_symbol
_atom_site_fract_x
_atom_site_fract_y
_atom_site_fract_z
Sr1 Sr 0.000 0.000 0.000
Sr2 Sr 0.000 0.500 0.500
Sr3 Sr 0.500 0.000 0.500
Sr4 Sr 0.500 0.500 0.000
Ta1 Ta 0.000 0.000 0.500
Ta2 Ta 0.000 0.500 0.000
Ta3 Ta 0.250 0.250 0.250
Ta4 Ta 0.250 0.750 0.750
Ta5 Ta 0.500 0.000 0.000
Ta6 Ta 0.500 0.500 0.500
Ta7 Ta 0.750 0.250 0.750
Ta8 Ta 0.750 0.750 0.250
In1 In 0.250 0.250 0.750
In2 In 0.250 0.750 0.250
In3 In 0.750 0.250 0.250
In4 In 0.750 0.750 0.750
# - VASP energy: -108.826 eV per cell
# - SG: F-43m, No. 216
# - Fermi-level density of states: 1.39 states/eV per atom
# - Energy of formation: 65.6 kJ/mol of atoms
# - Total moment: 0.0 μB per formula unit



No. 7
# Sr2TaIn, relaxed, DFT GGA-PBEsol
data_Sr2TaIn
_chemical_formula_sum 'Sr4 Ta2 In2'
_cell_length_a 11.437
_cell_length_b 3.273
_cell_length_c 5.861
_cell_angle_alpha 90.00
_cell_angle_beta 99.71
_cell_angle_gamma 90.00
_space_group_name_H-M_alt 'P 1'
_space_group_IT_number 1
_space_group_name_Hall 'P 1'
loop_
_atom_site_label
_atom_site_type_symbol
_atom_site_fract_x
_atom_site_fract_y
_atom_site_fract_z
Sr1 Sr 0.249 0.000 0.246
Sr2 Sr 0.251 0.500 0.754
Sr3 Sr 0.749 0.500 0.246
Sr4 Sr 0.751 0.000 0.754
Ta1 Ta 0.000 0.500 0.000
Ta2 Ta 0.500 0.000 0.000
In1 In 0.000 0.000 0.500
In2 In 0.500 0.500 0.500
# - VASP energy: -32.756 eV per cell
# - SG: C2/m, No. 12
# - Fermi-level density of states: 1.00 states/eV per atom
# - Energy of formation: 68.4 kJ/mol of atoms
# - Total moment: 0.0 μB per formula unit



No. 8
# SrTaIn, relaxed, DFT GGA-PBEsol
data_SrTaIn
_chemical_formula_sum 'Sr1 Ta1 In1'
_cell_length_a 3.219
_cell_length_b 3.219
_cell_length_c 8.023
_cell_angle_alpha 90.00
_cell_angle_beta 90.00
_cell_angle_gamma 120.00
_space_group_name_H-M_alt 'P 1'
_space_group_IT_number 1
_space_group_name_Hall 'P 1'
loop_
_atom_site_label
_atom_site_type_symbol
_atom_site_fract_x
_atom_site_fract_y
_atom_site_fract_z
Sr1 Sr 0.000 0.000 0.000
Ta1 Ta 0.667 0.333 0.659
In1 In 0.333 0.667 0.364
# - VASP energy: -15.742 eV per cell
# - Distance to the lowest polymorph of the same formula: 0.46 eV per formula unit
# - SG: P3m1, No. 156
# - Fermi-level density of states: 0.69 states/eV per atom
# - Energy of formation: 52.5 kJ/mol of atoms
# - Total moment: 0.0 μB per formula unit



No. 9
# Sr2TaIn, relaxed, DFT GGA-PBEsol
data_Sr2TaIn
_chemical_formula_sum 'Sr2 Ta1 In1'
_cell_length_a 4.593
_cell_length_b 4.593
_cell_length_c 5.082
_cell_angle_alpha 90.00
_cell_angle_beta 90.00
_cell_angle_gamma 90.00
_space_group_name_H-M_alt 'P 1'
_space_group_IT_number 1
_space_group_name_Hall 'P 1'
loop_
_atom_site_label
_atom_site_type_symbol
_atom_site_fract_x
_atom_site_fract_y
_atom_site_fract_z
Sr1 Sr 0.000 0.500 0.000
Sr2 Sr 0.500 0.000 0.000
Ta1 Ta 0.000 0.000 0.500
In1 In 0.500 0.500 0.500
# - VASP energy: -16.720 eV per cell
# - SG: P4/mmm, No. 123
# - Fermi-level density of states: 1.10 states/eV per atom
# - Energy of formation: 60.2 kJ/mol of atoms
# - Total moment: 0.4 μB per formula unit



No. 10
# SrTa2In, relaxed, DFT GGA-PBEsol
data_SrTa2In
_chemical_formula_sum 'Sr1 Ta2 In1'
_cell_length_a 3.085
_cell_length_b 4.332
_cell_length_c 7.127
_cell_angle_alpha 90.00
_cell_angle_beta 90.00
_cell_angle_gamma 90.00
_space_group_name_H-M_alt 'P 1'
_space_group_IT_number 1
_space_group_name_Hall 'P 1'
loop_
_atom_site_label
_atom_site_type_symbol
_atom_site_fract_x
_atom_site_fract_y
_atom_site_fract_z
Sr1 Sr 0.000 0.000 0.000
Ta1 Ta 0.500 0.500 0.321
Ta2 Ta 0.500 0.500 0.679
In1 In 0.000 0.000 0.500
# - VASP energy: -27.131 eV per cell
# - SG: Pmmm, No. 47
# - Fermi-level density of states: 0.92 states/eV per atom
# - Energy of formation: 67.4 kJ/mol of atoms
# - Total moment: 0.0 μB per formula unit



No. 11
# SrTa2In, relaxed, DFT GGA-PBEsol
data_SrTa2In
_chemical_formula_sum 'Sr2 Ta4 In2'
_cell_length_a 3.700
_cell_length_b 4.727
_cell_length_c 10.023
_cell_angle_alpha 90.00
_cell_angle_beta 90.00
_cell_angle_gamma 90.00
_space_group_name_H-M_alt 'P 1'
_space_group_IT_number 1
_space_group_name_Hall 'P 1'
loop_
_atom_site_label
_atom_site_type_symbol
_atom_site_fract_x
_atom_site_fract_y
_atom_site_fract_z
Sr1 Sr 0.000 0.000 0.000
Sr2 Sr 0.500 0.500 0.000
Ta1 Ta 0.000 0.000 0.488
Ta2 Ta 0.000 0.500 0.281
Ta3 Ta 0.500 0.000 0.281
Ta4 Ta 0.500 0.500 0.488
In1 In 0.000 0.500 0.721
In2 In 0.500 0.000 0.721
# - VASP energy: -56.859 eV per cell
# - SG: Cmm2, No. 35
# - Fermi-level density of states: 1.03 states/eV per atom
# - Energy of formation: 36.1 kJ/mol of atoms
# - Total moment: 0.0 μB per formula unit



No. 12
# SrTaIn, relaxed, DFT GGA-PBEsol
data_SrTaIn
_chemical_formula_sum 'Sr4 Ta4 In4'
_cell_length_a 7.012
_cell_length_b 7.012
_cell_length_c 7.012
_cell_angle_alpha 90.00
_cell_angle_beta 90.00
_cell_angle_gamma 90.00
_space_group_name_H-M_alt 'P 1'
_space_group_IT_number 1
_space_group_name_Hall 'P 1'
loop_
_atom_site_label
_atom_site_type_symbol
_atom_site_fract_x
_atom_site_fract_y
_atom_site_fract_z
Sr1 Sr 0.000 0.000 0.000
Sr2 Sr 0.000 0.500 0.500
Sr3 Sr 0.500 0.000 0.500
Sr4 Sr 0.500 0.500 0.000
Ta1 Ta 0.250 0.250 0.750
Ta2 Ta 0.250 0.750 0.250
Ta3 Ta 0.750 0.250 0.250
Ta4 Ta 0.750 0.750 0.750
In1 In 0.000 0.000 0.500
In2 In 0.000 0.500 0.000
In3 In 0.500 0.000 0.000
In4 In 0.500 0.500 0.500
# - VASP energy: -55.739 eV per cell
# - Distance to the lowest polymorph of the same formula: 2.27 eV per formula unit
# - SG: F-43m, No. 216
# - Fermi-level density of states: 1.26 states/eV per atom
# - Energy of formation: 110.6 kJ/mol of atoms
# - Total moment: 2.0 μB per formula unit